No. 1
Computed, not measured: K2Pr2GeO6 after structural relaxation at the GGA-PBE level of DFT.

```
K2Pr2GeO6
1.0
-5.838 -0.092 1.166
1.847 -0.514 -5.637
1.285 -6.226 1.838
K Pr Ge O
2 2 1 6
Cartesian
-4.659 -0.157 0.123
0.668 -0.449 -4.593
-0.085 -3.486 -2.439
-2.621 -3.347 -0.194
0.643 -3.113 0.919
-2.240 -4.644 -2.242
1.233 -4.333 -0.594
-0.467 -2.188 -0.391
-1.002 -4.211 1.385
-3.939 -2.499 -2.039
-1.704 -2.622 -4.018
```

Results
- DFT total energy: -6.435 eV per atom

---

No. 2
Computed, not measured: KPr2GeO5 after structural relaxation at the GGA-PBE level of DFT.

```
KPr2GeO5
1.0
6.942 0.000 0.000
0.000 6.942 0.000
-3.471 -3.471 5.866
K Pr Ge O
2 4 2 10
Cartesian
0.000 0.000 2.933
3.471 3.471 2.933
1.241 2.230 0.000
4.712 1.241 0.000
2.230 5.701 0.000
5.701 4.712 0.000
0.000 3.471 2.933
3.471 0.000 2.933
5.999 2.528 1.518
2.528 -0.943 4.348
-2.528 0.943 4.348
-0.943 -2.528 4.348
0.943 2.528 4.348
4.414 5.999 1.518
2.528 0.943 1.518
0.943 4.414 1.518
3.471 3.471 0.000
0.000 0.000 0.000
```

Results
- DFT total energy: -6.795 eV per atom

---

No. 3
Computed, not measured: K2PrGe2O6 after structural relaxation at the GGA-PBE level of DFT.

```
K2PrGe2O6
1.0
6.196 0.000 0.000
-3.098 5.264 -0.309
0.000 -3.378 6.263
K Pr Ge O
2 1 2 6
Cartesian
3.098 1.592 0.928
0.000 0.295 5.026
3.098 -1.689 3.132
3.098 2.117 4.657
0.000 -0.231 1.297
3.098 0.574 3.851
-1.628 4.086 1.149
1.470 -2.199 4.805
4.726 -2.199 4.805
1.628 4.086 1.149
0.000 1.313 2.103
```

Results
- DFT total energy: -6.161 eV per atom

---

No. 4
Computed, not measured: K2GePtO4 after structural relaxation at the GGA-PBE level of DFT.

```
K2GePtO4
1.0
-1.813 5.047 1.055
-2.126 -1.923 -4.653
-1.504 -3.494 3.925
K Ge Pt O
2 1 1 4
Cartesian
-2.877 0.207 -1.981
0.000 0.000 0.000
-1.815 -2.709 -0.364
-2.566 -0.578 2.308
-3.044 0.623 0.638
-1.354 -1.895 1.189
-2.873 3.339 -0.618
-3.615 -2.808 -0.556
```

Results
- DFT total energy: -5.311 eV per atom

---

Which of these has the highest DFT total energy? K2GePtO4

---

Copy entry 3 word for word.
Computed, not measured: K2PrGe2O6 after structural relaxation at the GGA-PBE level of DFT.

```
K2PrGe2O6
1.0
6.196 0.000 0.000
-3.098 5.264 -0.309
0.000 -3.378 6.263
K Pr Ge O
2 1 2 6
Cartesian
3.098 1.592 0.928
0.000 0.295 5.026
3.098 -1.689 3.132
3.098 2.117 4.657
0.000 -0.231 1.297
3.098 0.574 3.851
-1.628 4.086 1.149
1.470 -2.199 4.805
4.726 -2.199 4.805
1.628 4.086 1.149
0.000 1.313 2.103
```

Results
- DFT total energy: -6.161 eV per atom

---

Number 4 is which compound? K2GePtO4